No. 1
Entry from Alexandria via LeMat-Bulk: crystalline Co2C at its relaxed geometry (PBE).

Summary:
Fermi-level density of states: 1.263 states/eV/atom
total energy: -90.140 eV per cell
ρ: 7.506 Mg/m³
formation energy: 0.300 eV/atom
distance to the lowest polymorph of the same formula: 18.6 kJ per mole of atoms

Cell: 2.860 10.391 3.867 Å, 90.00 90.00 90.00°
Space group Cmcm (No. 63)
Symmetry-distinct sites (fractional):
1 Co 0.000 0.058 0.250 x4
2 Co 0.000 0.296 0.250 x4
3 C 0.000 0.332 0.750 x4

=====

No. 2
Entry from Alexandria via LeMat-Bulk: crystalline CoC at its relaxed geometry (PBE).

Summary:
Fermi-level density of states: 0.768 states/eV/atom
total energy: -45.224 eV per cell
ρ: 6.815 Mg/m³
formation energy: 0.628 eV/atom

Cell: 4.7218 4.7218 2.6859 Å, 90.00 90.00 120.00°
Space group P-62m (No. 189)
Symmetry-distinct sites (fractional):
1 Co 0.0000 0.3861 0.0000 x3
2 C 0.0000 0.0000 0.0000 x1
3 C 0.3333 0.6667 0.5000 x2

=====

No. 3
Entry from Alexandria via LeMat-Bulk: crystalline CoC5 at its relaxed geometry (PBE).

Summary:
Fermi-level density of states: 0.448 states/eV/atom
total energy: -91.927 eV per cell
ρ: 3.908 Mg/m³
formation energy: 1.210 eV/atom
distance to the lowest polymorph of the same formula: 57.4 kJ per mole of atoms

Cell: 2.551 2.559 15.487 Å, 90.00 90.00 90.00°
Space group Amm2 (No. 38)
Symmetry-distinct sites (fractional):
1 Co 0.000 0.000 0.000 x2
2 C 0.000 0.000 0.301 x2
3 C 0.000 0.000 0.598 x2
4 C 0.500 0.000 0.350 x2
5 C 0.500 0.000 0.628 x2
6 C 0.500 0.000 0.909 x2

=====

No. 4
Entry from Alexandria via LeMat-Bulk: crystalline CoC at its relaxed geometry (PBE).

Summary:
Fermi-level density of states: 1.241 states/eV/atom
total energy: -98.655 eV per cell
ρ: 6.857 Mg/m³
formation energy: 1.999 eV/atom

Cell: 5.161 5.161 5.161 Å, 90.00 90.00 90.00°
Space group Fd-3m (No. 227, origin choice 2)
Symmetry-distinct sites (fractional):
1 Co 0.125 0.125 0.125 x8
2 C 0.125 0.125 0.625 x8

=====

No. 5
Entry from Alexandria via LeMat-Bulk: crystalline Co2C at its relaxed geometry (PBE).

Summary:
Fermi-level density of states: 0.893 states/eV/atom
total energy: -89.218 eV per cell
ρ: 7.915 Mg/m³
formation energy: 0.377 eV/atom
distance to the lowest polymorph of the same formula: 26.0 kJ per mole of atoms

Cell: 9.605 2.620 4.573 Å, 90.00 108.75 90.00°
Space group C2/m (No. 12)
Symmetry-distinct sites (fractional):
1 Co 0.050 0.000 0.285 x4
2 Co 0.192 0.500 0.762 x4
3 C 0.150 0.500 0.139 x4

=====

No. 6
Entry from Alexandria via LeMat-Bulk: crystalline Co2C at its relaxed geometry (PBE).

Summary:
Fermi-level density of states: 0.507 states/eV/atom
total energy: -67.347 eV per cell
ρ: 8.297 Mg/m³
formation energy: 0.329 eV/atom
distance to the lowest polymorph of the same formula: 21.4 kJ per mole of atoms

Cell: 5.1808 5.1808 3.3549 Å, 90.00 90.00 120.00°
Space group P-62m (No. 189)
Symmetry-distinct sites (fractional):
1 Co 0.0000 0.2775 0.0000 x3
2 Co 0.0000 0.6173 0.5000 x3
3 C 0.0000 0.0000 0.5000 x1
4 C 0.3333 0.6667 0.0000 x2

=====

No. 7
Entry from Alexandria via LeMat-Bulk: crystalline CoC5 at its relaxed geometry (PBE).

Summary:
Fermi-level density of states: 0.334 states/eV/atom
total energy: -39.376 eV per cell
ρ: 3.912 Mg/m³
formation energy: 2.308 eV/atom
distance to the lowest polymorph of the same formula: 163.4 kJ per mole of atoms

Cell: 3.190 3.190 4.963 Å, 90.00 90.00 90.00°
Space group P4/mmm (No. 123)
Symmetry-distinct sites (fractional):
1 Co 0.000 0.000 0.000 x1
2 C 0.000 0.000 0.370 x2
3 C 0.500 0.500 0.133 x2
4 C 0.500 0.500 0.500 x1

=====

No. 8
Entry from Alexandria via LeMat-Bulk: crystalline CoC at its relaxed geometry (PBE).

Summary:
Fermi-level density of states: 0.205 states/eV/atom
total energy: -62.929 eV per cell
ρ: 6.233 Mg/m³
formation energy: 0.299 eV/atom

Cell: 3.201 3.577 6.602 Å, 90.00 90.00 90.00°
Space group Immm (No. 71)
Symmetry-distinct sites (fractional):
1 Co 0.000 0.000 0.231 x4
2 C 0.000 0.500 0.110 x4

=====

No. 9
Entry from Alexandria via LeMat-Bulk: crystalline Co2C at its relaxed geometry (PBE).

Summary:
Fermi-level density of states: 1.110 states/eV/atom
total energy: -22.252 eV per cell
ρ: 7.620 Mg/m³
formation energy: 0.395 eV/atom
distance to the lowest polymorph of the same formula: 27.7 kJ per mole of atoms

Cell: 2.756 2.756 3.726 Å, 90.00 90.00 90.00°
Space group P4/mmm (No. 123)
Symmetry-distinct sites (fractional):
1 Co 0.000 0.000 0.000 x1
2 Co 0.500 0.500 0.500 x1
3 C 0.000 0.000 0.500 x1

=====

No. 10
Entry from Alexandria via LeMat-Bulk: crystalline Co4C at its relaxed geometry (PBE).

Summary:
Fermi-level density of states: 1.622 states/eV/atom
total energy: -36.545 eV per cell
ρ: 7.902 Mg/m³
formation energy: 0.221 eV/atom
distance to the lowest polymorph of the same formula: 0.0 kJ per mole of atoms

Cell: 3.734 3.734 3.734 Å, 90.00 90.00 90.00°
Space group Pm-3m (No. 221)
Symmetry-distinct sites (fractional):
1 Co 0.000 0.000 0.000 x1
2 Co 0.000 0.500 0.500 x3
3 C 0.500 0.500 0.500 x1

=====

No. 11
Entry from Alexandria via LeMat-Bulk: crystalline CoC at its relaxed geometry (PBE).

Summary:
Fermi-level density of states: 0.602 states/eV/atom
total energy: -29.927 eV per cell
ρ: 6.016 Mg/m³
formation energy: 0.683 eV/atom

Cell: 3.0895 3.0895 4.7375 Å, 90.00 90.00 120.00°
Space group P6_3mc (No. 186)
Symmetry-distinct sites (fractional):
1 Co 0.3333 0.6667 0.0000 x2
2 C 0.3333 0.6667 0.6078 x2

=====

No. 12
Entry from Alexandria via LeMat-Bulk: crystalline Co3C at its relaxed geometry (PBE).

Summary:
Fermi-level density of states: 1.207 states/eV/atom
total energy: -58.053 eV per cell
ρ: 8.436 Mg/m³
formation energy: 0.379 eV/atom

Cell: 2.519 3.986 7.403 Å, 90.00 90.00 90.00°
Space group Immm (No. 71)
Symmetry-distinct sites (fractional):
1 Co 0.000 0.000 0.000 x2
2 Co 0.000 0.500 0.194 x4
3 C 0.000 0.000 0.500 x2

=====

Question: What is the formula in the ninth record?
Answer: Co2C